Entry 1:
Compound: Ac3Tb12Ho
Source: Alexandria
Functional: PBE-GGA
Structure: optimized geometry

Cell and atoms, written as extended XYZ:
```
16
Lattice="5.142 0.000 0.000 0.000 5.142 0.000 0.000 0.000 20.568" Properties=species:S:1:pos:R:3 pbc="T T T"
Ac 0.000 0.000 0.000
Ac 0.000 0.000 5.193
Ac 0.000 0.000 15.374
Tb 0.000 2.571 2.605
Tb 0.000 2.571 7.834
Tb 0.000 2.571 12.734
Tb 0.000 2.571 17.963
Tb 2.571 0.000 2.605
Tb 2.571 0.000 7.834
Tb 2.571 0.000 12.734
Tb 2.571 0.000 17.963
Tb 2.571 2.571 0.000
Tb 2.571 2.571 5.222
Tb 2.571 2.571 10.284
Tb 2.571 2.571 15.346
Ho 0.000 0.000 10.284
```

Computed properties:
The value obtained for the energy relative to the elements is 0.046 eV per atom. As for the total energy: -4.483 eV per atom.

=====

Entry 2:
Compound: ZnS
Source: Alexandria
Functional: PBE-GGA
Structure: optimized geometry

Cell and atoms, written as extended XYZ:
```
6
Lattice="1.924 1.111 9.451 -1.924 1.111 9.451 0.000 -2.222 9.451" Properties=species:S:1:pos:R:3 pbc="T T T"
Zn 0.000 0.000 0.000
Zn 0.000 0.000 6.303
Zn 0.000 0.000 12.605
S 0.000 0.000 2.363
S 0.000 0.000 8.661
S 0.000 0.000 14.967
```

Computed properties:
The calculation puts the energy relative to the elements, uncorrected at -0.81 eV/atom. As for the total energy: -3.506 eV per atom.